Compound: Hf2GaPt
Source: Alexandria
Functional: GGA-PBE
Structure: optimized geometry

Values from the calculation:
V, A^3/atom: 20.308
E_tot, eV/cell: -30.9
SG: R-3m
Energy relative to the elements, kJ/mol of atoms: -45.5

a = 3.470 Å, b = 3.470 Å, c = 8.044 Å
α = 77.55°, β = 77.55°, γ = 60.00°
Sites, in units of the cell vectors:
Ga 0.000 0.000 0.000
Hf 0.246 0.246 0.262
Hf 0.754 0.754 0.738
Pt 0.500 0.500 0.500